First-principles (PBE) data for a geometry-optimized MgCrIr2 structure, as listed in Alexandria.

ΔE_f = 0.267 eV/atom

abc: 7.030 7.030 5.631
angles: 51.37 51.37 90.00
Positions (direct):
1 Ir 0.074 0.625 0.250
2 Ir 0.676 0.125 0.250
3 Ir 0.875 0.926 0.750
4 Ir 0.375 0.324 0.750
5 Mg 0.500 0.500 0.000
6 Mg 0.250 0.750 0.500
7 Cr 0.000 0.000 0.000
8 Cr 0.750 0.250 0.500